Arrangement A

## AcHgTe2 (PBE-GGA)

Data for a geometry-optimized AcHgTe2 structure.

Results
The value obtained for the calculated density is 8.773 g/cm3.

a = 5.6704 Å, b = 5.6704 Å, c = 13.9237 Å
α = 90.00°, β = 90.00°, γ = 120.00°
Closest atoms and distances in Å follow each position.
Space group R-3m (No. 166, hexagonal axes)
Asymmetric unit:
Ac 0.0000 0.0000 0.0000 x3  8 Te 3.47-3.48
Hg 0.0000 0.0000 0.5000 x3  8 Te 3.47-3.49
Te 0.0000 0.0000 0.2497 x6  4 Hg 3.47-3.49, 4 Ac 3.47-3.48

=====

Arrangement B

## AcHgTe2 (PBE-GGA)

Data for a geometry-optimized AcHgTe2 structure.

Results
The value obtained for the calculated density is 5.748 g/cm3.

a = 4.9201 Å, b = 4.9201 Å, c = 28.2268 Å
α = 90.00°, β = 90.00°, γ = 120.00°
Closest atoms and distances in Å follow each position.
Space group P3_221 (No. 154)
Asymmetric unit:
Ac 0.0000 0.6710 0.3333 x3  6 Te 3.34
Hg 0.0000 0.6637 0.8333 x3  2 Te 2.95
Te 0.0044 0.6669 0.7289 x6  1 Hg 2.95

=====

So which one is most stable? That would be arrangement A, about 0.016 eV/atom below the next structure.

=====

Arrangement A

## AcHgTe2 (PBE-GGA)

Data for a geometry-optimized AcHgTe2 structure.

Results
The value obtained for the calculated density is 9.089 g/cm3.

a = 5.4067 Å, b = 5.4067 Å, c = 4.2673 Å
α = 90.00°, β = 90.00°, γ = 90.00°
Closest atoms and distances in Å follow each position.
Space group P4/mmm (No. 123)
Asymmetric unit:
Ac 0.0000 0.0000 0.0000 x1  8 Te 3.44, 4 Hg 3.82
Hg 0.5000 0.5000 0.0000 x1  8 Te 3.44, 4 Ac 3.82
Te 0.0000 0.5000 0.5000 x2  4 Hg 3.44, 4 Ac 3.44, 4 Te 3.82

=====

Arrangement B

## AcHgTe2 (PBE-GGA)

Data for a geometry-optimized AcHgTe2 structure.

Results
The value obtained for the calculated density is 8.672 g/cm3.

a = 4.4100 Å, b = 4.4100 Å, c = 6.7225 Å
α = 90.00°, β = 90.00°, γ = 90.00°
Closest atoms and distances in Å follow each position.
Space group P4/mmm (No. 123)
Asymmetric unit:
Ac 0.0000 0.0000 0.0000 x1  2 Hg 3.36, 8 Te 3.51
Hg 0.0000 0.0000 0.5000 x1  2 Ac 3.36, 8 Te 3.57
Te 0.5000 0.5000 0.2412 x2  2 Te 3.24-3.48, 4 Ac 3.51, 4 Hg 3.57

=====

Arrangement C

## AcHgTe2 (PBE-GGA)

Data for a geometry-optimized AcHgTe2 structure.

Results
The value obtained for the calculated density is 7.334 g/cm3.

a = 4.7907 Å, b = 4.7907 Å, c = 23.3326 Å
α = 90.00°, β = 90.00°, γ = 120.00°
Closest atoms and distances in Å follow each position.
Space group R3m (No. 160, hexagonal axes)
Asymmetric unit:
Ac 0.0000 0.0000 0.0000 x3  6 Te 3.31-3.34
Hg 0.0000 0.0000 0.1659 x3  6 Te 3.43-3.45
Te 0.0000 0.0000 0.4112 x3  3 Ac 3.31, 3 Hg 3.45
Te 0.0000 0.0000 0.5863 x3  3 Ac 3.34, 3 Hg 3.43

=====

So which one is most stable? That would be arrangement B, about 0.020 eV/atom below the next structure.

=====

Arrangement A

## Ac2HgTe (PBE-GGA)

Data for a geometry-optimized Ac2HgTe structure.

Results
The value obtained for the calculated density is 8.573 g/cm3.

a = 4.5902 Å, b = 4.5902 Å, c = 24.9095 Å
α = 90.00°, β = 90.00°, γ = 120.00°
Closest atoms and distances in Å follow each position.
Space group R-3m (No. 166, hexagonal axes)
Asymmetric unit:
Ac 0.0000 0.0000 0.2489 x6  3 Hg 3.35, 3 Te 3.38
Hg 0.0000 0.0000 0.5000 x3  6 Ac 3.35
Te 0.0000 0.0000 0.0000 x3  6 Ac 3.38

=====

Arrangement B

## Ac2HgTe (PBE-GGA)

Data for a geometry-optimized Ac2HgTe structure.

Results
The value obtained for the calculated density is 8.622 g/cm3.

a = 4.4112 Å, b = 4.4112 Å, c = 26.8188 Å
α = 90.00°, β = 90.00°, γ = 120.00°
Closest atoms and distances in Å follow each position.
Space group R3m (No. 160, hexagonal axes)
Asymmetric unit:
Ac 0.0000 0.0000 0.0000 x3  3 Te 3.39, 3 Hg 3.41
Ac 0.0000 0.0000 0.1680 x3  3 Te 3.37, 3 Hg 3.39
Hg 0.0000 0.0000 0.7513 x3  6 Ac 3.39-3.41
Te 0.0000 0.0000 0.5834 x3  6 Ac 3.37-3.39

=====

Arrangement C

## Ac2HgTe (PBE-GGA)

Data for a geometry-optimized Ac2HgTe structure.

Results
The value obtained for the calculated density is 9.585 g/cm3.

a = 8.1534 Å, b = 8.1534 Å, c = 8.1534 Å
α = 90.00°, β = 90.00°, γ = 90.00°
Closest atoms and distances in Å follow each position.
Space group Fm-3m (No. 225)
Asymmetric unit:
Ac 0.2500 0.2500 0.2500 x8  4 Hg 3.53, 4 Te 3.53
Hg 0.0000 0.0000 0.0000 x4  8 Ac 3.53
Te 0.0000 0.0000 0.5000 x4  8 Ac 3.53

=====

Arrangement D

## Ac2HgTe (PBE-GGA)

Data for a geometry-optimized Ac2HgTe structure.

Results
The value obtained for the calculated density is 9.684 g/cm3.

a = 5.8330 Å, b = 5.8330 Å, c = 3.9422 Å
α = 90.00°, β = 90.00°, γ = 90.00°
Closest atoms and distances in Å follow each position.
Space group P4/mmm (No. 123)
Asymmetric unit:
Ac 0.0000 0.5000 0.0000 x2  4 Hg 3.52, 4 Te 3.52, 2 Ac 3.94
Hg 0.0000 0.0000 0.5000 x1  8 Ac 3.52, 2 Hg 3.94
Te 0.5000 0.5000 0.5000 x1  8 Ac 3.52, 2 Te 3.94

=====

So which one is most stable? That would be arrangement A, about 0.058 eV/atom below the next structure.

=====

Arrangement A

## AcTl3Hg3 (PBE-GGA)

Data for a geometry-optimized AcTl3Hg3 structure.

Results
The value obtained for the calculated density is 11.164 g/cm3.

a = 7.8177 Å, b = 7.8177 Å, c = 24.3134 Å
α = 90.00°, β = 90.00°, γ = 120.00°
Closest atoms and distances in Å follow each position.
Space group R-3 (No. 148, hexagonal axes)
Asymmetric unit:
Ac 0.0000 0.0000 0.1695 x6  6 Hg 3.34-3.45, 3 Tl 3.68
Tl 0.0382 0.6042 0.3731 x18  2 Tl 3.24, 3 Hg 3.26-3.30
Hg 0.0189 0.7787 0.5578 x18  4 Hg 3.13-3.34, 3 Tl 3.26-3.30, 2 Ac 3.34-3.45

=====

Arrangement B

## AcTl3Hg3 (PBE-GGA)

Data for a geometry-optimized AcTl3Hg3 structure.

Results
The value obtained for the calculated density is 9.083 g/cm3.

a = 8.0783 Å, b = 8.0783 Å, c = 8.0783 Å
α = 90.00°, β = 90.00°, γ = 90.00°
Closest atoms and distances in Å follow each position.
Space group Pm-3n (No. 223)
Asymmetric unit:
Ac 0.0000 0.0000 0.0000 x2  12 Hg 4.52, 12 Tl 4.52
Tl 0.0000 0.2500 0.5000 x6  4 Hg 2.86
Hg 0.0000 0.5000 0.2500 x6  4 Tl 2.86

=====

So which one is most stable? That would be arrangement A, about 0.400 eV/atom below the next structure.

=====

Arrangement A

## Ac5Tl2Hg2 (PBE-GGA)

Data for a geometry-optimized Ac5Tl2Hg2 structure.

Results
The value obtained for the calculated density is 9.697 g/cm3.

a = 17.8289 Å, b = 8.8910 Å, c = 8.4044 Å
α = 90.00°, β = 90.00°, γ = 90.00°
Closest atoms and distances in Å follow each position.
Space group Cmce (No. 64)
Asymmetric unit:
Ac 0.0000 0.0000 0.0000 x4  4 Tl 3.39-3.45, 2 Hg 3.72
Ac 0.1426 0.1835 0.3329 x16  3 Hg 3.36-3.45, 2 Tl 3.53-3.54
Tl 0.0000 0.1286 0.6200 x8  1 Tl 3.05, 1 Ac 3.39
Hg 0.2087 0.0000 0.0000 x8  7 Ac 3.36-3.72

=====

Arrangement B

## Ac5Tl2Hg2 (PBE-GGA)

Data for a geometry-optimized Ac5Tl2Hg2 structure.

Results
The value obtained for the calculated density is 9.727 g/cm3.

a = 17.8099 Å, b = 8.8106 Å, c = 8.4635 Å
α = 90.00°, β = 90.00°, γ = 90.00°
Closest atoms and distances in Å follow each position.
Space group Cmce (No. 64)
Asymmetric unit:
Ac 0.0000 0.0000 0.0000 x4  4 Hg 3.35-3.45, 2 Tl 3.76
Ac 0.1383 0.1790 0.3337 x16  3 Tl 3.41-3.48, 3 Hg 3.47-3.67
Tl 0.2109 0.0000 0.0000 x8  7 Ac 3.41-3.76
Hg 0.0000 0.1277 0.6266 x8  1 Hg 3.11, 4 Ac 3.35-3.47

=====

So which one is most stable? That would be arrangement A, about 0.020 eV/atom below the next structure.

=====

Arrangement A

## Ac4TlHg3 (PBE-GGA)

Data for a geometry-optimized Ac4TlHg3 structure.

Results
The value obtained for the calculated density is 10.561 g/cm3.

a = 17.3560 Å, b = 5.7349 Å, c = 5.7348 Å
α = 90.00°, β = 109.21°, γ = 90.00°
Closest atoms and distances in Å follow each position.
Space group C2/m (No. 12)
Asymmetric unit:
Ac 0.1266 0.0000 0.1265 x4  6 Hg 3.50-3.54, 2 Tl 3.54
Ac 0.1266 0.5000 0.6265 x4  6 Hg 3.51-3.54, 2 Tl 3.54
Tl 0.0000 0.0000 0.5000 x2  8 Ac 3.54
Hg 0.0000 0.5000 0.0000 x2  8 Ac 3.54
Hg 0.2497 0.0000 0.7498 x4  8 Ac 3.50-3.51

=====

Arrangement B

## Ac4TlHg3 (PBE-GGA)

Data for a geometry-optimized Ac4TlHg3 structure.

Results
The value obtained for the calculated density is 10.280 g/cm3.

a = 4.1309 Å, b = 5.2080 Å, c = 12.8702 Å
α = 90.00°, β = 90.00°, γ = 90.00°
Closest atoms and distances in Å follow each position.
Space group Pmm2 (No. 25)
Asymmetric unit:
Ac 0.0000 0.0000 0.0000 x1  6 Hg 3.42-3.50, 1 Tl 3.62
Ac 0.0000 0.5000 0.2840 x1  7 Hg 3.43-3.54
Ac 0.5000 0.0000 0.4896 x1  5 Hg 3.44-3.48, 2 Tl 3.60
Ac 0.5000 0.5000 0.7884 x1  4 Tl 3.44, 3 Hg 3.51-3.60
Tl 0.0000 0.0000 0.7184 x1  2 Hg 3.31, 7 Ac 3.44-3.62
Hg 0.0000 0.5000 0.5591 x1  2 Tl 3.31, 7 Ac 3.44-3.60
Hg 0.5000 0.0000 0.2192 x1  2 Hg 3.30, 7 Ac 3.43-3.50
Hg 0.5000 0.5000 0.0614 x1  2 Hg 3.30, 7 Ac 3.42-3.53

=====

So which one is most stable? That would be arrangement A, about 0.024 eV/atom below the next structure.

=====

Arrangement A

## Ac6Tl2Hg (PBE-GGA)

Data for a geometry-optimized Ac6Tl2Hg structure.

Results
The value obtained for the calculated density is 9.544 g/cm3.

a = 5.9805 Å, b = 5.9805 Å, c = 11.0730 Å
α = 90.00°, β = 90.00°, γ = 120.00°
Closest atoms and distances in Å follow each position.
Space group P-3m1 (No. 164)
Asymmetric unit:
Ac 0.0000 0.0000 0.1886 x2  1 Hg 3.45, 3 Tl 3.61
Ac 0.3333 0.6667 0.0292 x2  1 Tl 3.47, 6 Ac 3.51-3.88
Ac 0.3333 0.6667 0.3979 x2  4 Tl 3.52-3.68, 3 Hg 3.63
Tl 0.3333 0.6667 0.7161 x2  8 Ac 3.47-3.68
Hg 0.0000 0.0000 0.5000 x1  8 Ac 3.45-3.63

=====

Arrangement B

## Ac6Tl2Hg (PBE-GGA)

Data for a geometry-optimized Ac6Tl2Hg structure.

Results
The value obtained for the calculated density is 8.659 g/cm3.

a = 5.6271 Å, b = 7.9738 Å, c = 16.8510 Å
α = 90.00°, β = 90.00°, γ = 90.00°
Closest atoms and distances in Å follow each position.
Space group Immm (No. 71)
Asymmetric unit:
Ac 0.0000 0.2429 0.0000 x4  2 Hg 3.42, 2 Tl 3.47
Ac 0.0000 0.2532 0.3354 x8  1 Hg 3.40, 3 Tl 3.46-3.47
Tl 0.0000 0.5000 0.1661 x4  8 Ac 3.46-3.47
Hg 0.0000 0.5000 0.5000 x2  8 Ac 3.40-3.42

=====

So which one is most stable? That would be arrangement A, about 0.116 eV/atom below the next structure.

=====

Arrangement A

## AcTl2Hg8 (PBE-GGA)

Data for a geometry-optimized AcTl2Hg8 structure.

Results
The value obtained for the calculated density is 11.233 g/cm3.

a = 9.0604 Å, b = 16.6823 Å, c = 4.7449 Å
α = 90.00°, β = 112.54°, γ = 90.00°
Closest atoms and distances in Å follow each position.
Space group C2/m (No. 12)
Asymmetric unit:
Ac 0.0000 0.0000 0.0000 x2  12 Hg 3.30-3.53
Tl 0.0000 0.3241 0.5000 x4  6 Hg 3.09-3.29
Hg 0.0000 0.2051 0.0000 x4  2 Tl 3.09, 4 Hg 3.27-3.29, 1 Ac 3.42
Hg 0.1104 0.5000 0.8283 x4  4 Hg 2.99-3.10, 2 Tl 3.29, 1 Ac 3.30
Hg 0.2050 0.1170 0.6471 x8  4 Hg 3.10-3.43, 1 Tl 3.17

=====

Arrangement B

## AcTl2Hg8 (PBE-GGA)

Data for a geometry-optimized AcTl2Hg8 structure.

Results
The value obtained for the calculated density is 11.636 g/cm3.

a = 19.4600 Å, b = 6.2383 Å, c = 5.3450 Å
α = 90.00°, β = 99.77°, γ = 90.00°
Closest atoms and distances in Å follow each position.
Space group C2/m (No. 12)
Asymmetric unit:
Ac 0.0000 0.0000 0.0000 x2  14 Hg 3.42-3.52
Tl 0.2376 0.5000 0.3117 x4  5 Hg 3.07-3.41
Hg 0.0817 0.5000 0.0430 x4  5 Hg 3.06-3.13, 1 Tl 3.13
Hg 0.0872 0.2494 0.5539 x8  5 Hg 3.06-3.34
Hg 0.1785 0.0000 0.1259 x4  4 Tl 3.07-3.41, 1 Ac 3.42

=====

So which one is most stable? That would be arrangement B, about 0.027 eV/atom below the next structure.

=====

Arrangement A

## Ac2Tl2Hg (PBE-GGA)

Data for a geometry-optimized Ac2Tl2Hg structure.

Results
The value obtained for the calculated density is 10.551 g/cm3.

a = 4.1138 Å, b = 4.2189 Å, c = 9.9075 Å
α = 79.23°, β = 82.19°, γ = 88.31°
Closest atoms and distances in Å follow each position.
Space group P-1 (No. 2)
Asymmetric unit:
Ac 0.0663 0.0927 0.2974 x2  5 Tl 3.46-3.82, 4 Hg 3.49-3.59
Tl 0.3101 0.2967 0.9173 x2  3 Tl 3.16-3.43, 2 Ac 3.46-3.49
Hg 0.5000 0.5000 0.5000 x1  8 Ac 3.49-3.59

=====

Arrangement B

## Ac2Tl2Hg (PBE-GGA)

Data for a geometry-optimized Ac2Tl2Hg structure.

Results
The value obtained for the calculated density is 10.591 g/cm3.

a = 12.1392 Å, b = 5.0939 Å, c = 12.1489 Å
α = 90.00°, β = 117.41°, γ = 90.00°
Closest atoms and distances in Å follow each position.
Space group C2/m (No. 12)
Asymmetric unit:
Ac 0.0189 0.0000 0.3325 x4  7 Tl 3.48-3.89, 4 Hg 3.50-3.88
Ac 0.1827 0.0000 0.1055 x4  6 Tl 3.41-3.72, 2 Hg 3.54
Tl 0.0341 0.5000 0.8891 x4  1 Hg 3.03, 1 Tl 3.16
Tl 0.1451 0.5000 0.5502 x4  3 Hg 3.01-3.32, 1 Tl 3.15
Hg 0.2269 0.5000 0.3246 x4  4 Tl 3.01-3.32

=====

So which one is most stable? That would be arrangement B, about 0.069 eV/atom below the next structure.

=====

Arrangement A

## Ac2TlHg8 (PBE-GGA)

Data for a geometry-optimized Ac2TlHg8 structure.

Results
The value obtained for the calculated density is 11.961 g/cm3.

a = 5.3519 Å, b = 7.2437 Å, c = 8.4942 Å
α = 77.47°, β = 77.82°, γ = 86.43°
Closest atoms and distances in Å follow each position.
Space group P-1 (No. 2)
Asymmetric unit:
Ac 0.1997 0.2292 0.1486 x2  12 Hg 3.37-3.69
Tl 0.0000 0.5000 0.5000 x1  6 Hg 3.18-3.32
Hg 0.2142 0.7283 0.1154 x2  4 Hg 3.04-3.35, 1 Tl 3.32
Hg 0.2587 0.8848 0.4969 x2  5 Hg 2.97-3.18, 1 Tl 3.18
Hg 0.3006 0.0813 0.7861 x2  5 Hg 2.97-3.33
Hg 0.3590 0.5260 0.7556 x2  3 Hg 3.08-3.20, 1 Tl 3.23, 2 Ac 3.37-3.42

=====

Arrangement B

## Ac2TlHg8 (PBE-GGA)

Data for a geometry-optimized Ac2TlHg8 structure.

Results
The value obtained for the calculated density is 11.883 g/cm3.

a = 18.1337 Å, b = 5.0803 Å, c = 7.5439 Å
α = 90.00°, β = 114.48°, γ = 90.00°
Closest atoms and distances in Å follow each position.
Space group C2/m (No. 12)
Asymmetric unit:
Ac 0.2113 0.0000 0.2113 x4  8 Hg 3.31-3.44
Tl 0.0000 0.5000 0.5000 x2  4 Hg 3.02
Hg 0.0000 0.0000 0.1986 x4  5 Hg 3.00-3.30
Hg 0.1271 0.5000 0.3394 x4  1 Tl 3.02, 5 Hg 3.20-3.36, 2 Ac 3.31
Hg 0.1270 0.5000 0.9148 x4  1 Tl 3.02, 5 Hg 3.20-3.36, 2 Ac 3.31
Hg 0.1497 0.0000 0.6494 x4  6 Hg 3.36, 2 Ac 3.42, 2 Tl 3.54

=====

So which one is most stable? That would be arrangement A, about 0.018 eV/atom below the next structure.